Entry 1:
VASP calculation (PBE) on an optimized crystal structure of Gd3Ta3Re2N12.

Cell lengths 11.1064, 11.1064, 11.1064 Å; angles 109.47, 109.47, 109.47 degrees
Sites, in units of the cell vectors:
Gd 0.1250 0.2500 0.3750
Gd 0.1250 0.3750 0.7500
Gd 0.2500 0.3750 0.1250
Gd 0.2500 0.8750 0.6250
Gd 0.3750 0.1250 0.2500
Gd 0.3750 0.7500 0.1250
Gd 0.6250 0.2500 0.8750
Gd 0.6250 0.8750 0.7500
Gd 0.7500 0.1250 0.3750
Gd 0.7500 0.6250 0.8750
Gd 0.8750 0.6250 0.2500
Gd 0.8750 0.7500 0.6250
Ta 0.1250 0.7500 0.8750
Ta 0.1250 0.8750 0.2500
Ta 0.2500 0.1250 0.8750
Ta 0.2500 0.6250 0.3750
Ta 0.3750 0.2500 0.6250
Ta 0.3750 0.6250 0.7500
Ta 0.6250 0.3750 0.2500
Ta 0.6250 0.7500 0.3750
Ta 0.7500 0.3750 0.6250
Ta 0.7500 0.8750 0.1250
Ta 0.8750 0.1250 0.7500
Ta 0.8750 0.2500 0.1250
Re 0.0000 0.0000 0.0000
Re 0.0000 0.0000 0.5000
Re 0.0000 0.5000 0.0000
Re 0.0000 0.5000 0.5000
Re 0.5000 0.0000 0.0000
Re 0.5000 0.0000 0.5000
Re 0.5000 0.5000 0.0000
Re 0.5000 0.5000 0.5000
N 0.0223 0.1975 0.1155
N 0.0223 0.3248 0.9067
N 0.0820 0.6975 0.6752
N 0.0820 0.8845 0.4067
N 0.0933 0.6155 0.4180
N 0.0933 0.9777 0.6752
N 0.1155 0.0223 0.1975
N 0.1155 0.5933 0.9180
N 0.1752 0.1975 0.5820
N 0.1752 0.4777 0.5933
N 0.1975 0.1155 0.0223
N 0.1975 0.5820 0.1752
N 0.3025 0.3248 0.9180
N 0.3025 0.4777 0.3845
N 0.3248 0.9067 0.0223
N 0.3248 0.9180 0.3025
N 0.3845 0.3025 0.4777
N 0.3845 0.5820 0.9067
N 0.4067 0.0820 0.8845
N 0.4067 0.8248 0.5223
N 0.4180 0.0933 0.6155
N 0.4180 0.8248 0.8025
N 0.4777 0.3845 0.3025
N 0.4777 0.5933 0.1752
N 0.5223 0.4067 0.8248
N 0.5223 0.6155 0.6975
N 0.5820 0.1752 0.1975
N 0.5820 0.9067 0.3845
N 0.5933 0.1752 0.4777
N 0.5933 0.9180 0.1155
N 0.6155 0.4180 0.0933
N 0.6155 0.6975 0.5223
N 0.6752 0.0820 0.6975
N 0.6752 0.0933 0.9777
N 0.6975 0.5223 0.6155
N 0.6975 0.6752 0.0820
N 0.8025 0.4180 0.8248
N 0.8025 0.8845 0.9777
N 0.8248 0.5223 0.4067
N 0.8248 0.8025 0.4180
N 0.8845 0.4067 0.0820
N 0.8845 0.9777 0.8025
N 0.9067 0.0223 0.3248
N 0.9067 0.3845 0.5820
N 0.9180 0.1155 0.5933
N 0.9180 0.3025 0.3248
N 0.9777 0.6752 0.0933
N 0.9777 0.8025 0.8845

Results
Density, g cm⁻³: 9.8
SG: No. 230
Final energy, eV per atom: -9.500

Entry 2:
VASP calculation (PBE) on an optimized crystal structure of Gd3Re3W2N12.

Cell lengths 11.0411, 11.0411, 11.0411 Å; angles 109.47, 109.47, 109.47 degrees
Sites, in units of the cell vectors:
Gd 0.1250 0.2500 0.3750
Gd 0.1250 0.3750 0.7500
Gd 0.2500 0.3750 0.1250
Gd 0.2500 0.8750 0.6250
Gd 0.3750 0.1250 0.2500
Gd 0.3750 0.7500 0.1250
Gd 0.6250 0.2500 0.8750
Gd 0.6250 0.8750 0.7500
Gd 0.7500 0.1250 0.3750
Gd 0.7500 0.6250 0.8750
Gd 0.8750 0.6250 0.2500
Gd 0.8750 0.7500 0.6250
Re 0.1250 0.7500 0.8750
Re 0.1250 0.8750 0.2500
Re 0.2500 0.1250 0.8750
Re 0.2500 0.6250 0.3750
Re 0.3750 0.2500 0.6250
Re 0.3750 0.6250 0.7500
Re 0.6250 0.3750 0.2500
Re 0.6250 0.7500 0.3750
Re 0.7500 0.3750 0.6250
Re 0.7500 0.8750 0.1250
Re 0.8750 0.1250 0.7500
Re 0.8750 0.2500 0.1250
W 0.0000 0.0000 0.0000
W 0.0000 0.0000 0.5000
W 0.0000 0.5000 0.0000
W 0.0000 0.5000 0.5000
W 0.5000 0.0000 0.0000
W 0.5000 0.0000 0.5000
W 0.5000 0.5000 0.0000
W 0.5000 0.5000 0.5000
N 0.0175 0.1991 0.1161
N 0.0175 0.3184 0.9013
N 0.0830 0.6991 0.6816
N 0.0830 0.8839 0.4013
N 0.0987 0.6161 0.4170
N 0.0987 0.9825 0.6816
N 0.1161 0.0175 0.1991
N 0.1161 0.5987 0.9170
N 0.1816 0.1991 0.5830
N 0.1816 0.4825 0.5987
N 0.1991 0.1161 0.0175
N 0.1991 0.5830 0.1816
N 0.3009 0.3184 0.9170
N 0.3009 0.4825 0.3839
N 0.3184 0.9013 0.0175
N 0.3184 0.9170 0.3009
N 0.3839 0.3009 0.4825
N 0.3839 0.5830 0.9013
N 0.4013 0.0830 0.8839
N 0.4013 0.8184 0.5175
N 0.4170 0.0987 0.6161
N 0.4170 0.8184 0.8009
N 0.4825 0.3839 0.3009
N 0.4825 0.5987 0.1816
N 0.5175 0.4013 0.8184
N 0.5175 0.6161 0.6991
N 0.5830 0.1816 0.1991
N 0.5830 0.9013 0.3839
N 0.5987 0.1816 0.4825
N 0.5987 0.9170 0.1161
N 0.6161 0.4170 0.0987
N 0.6161 0.6991 0.5175
N 0.6816 0.0830 0.6991
N 0.6816 0.0987 0.9825
N 0.6991 0.5175 0.6161
N 0.6991 0.6816 0.0830
N 0.8009 0.4170 0.8184
N 0.8009 0.8839 0.9825
N 0.8184 0.5175 0.4013
N 0.8184 0.8009 0.4170
N 0.8839 0.4013 0.0830
N 0.8839 0.9825 0.8009
N 0.9013 0.0175 0.3184
N 0.9013 0.3839 0.5830
N 0.9170 0.1161 0.5987
N 0.9170 0.3009 0.3184
N 0.9825 0.6816 0.0987
N 0.9825 0.8009 0.8839

Results
Density, g cm⁻³: 10.0
SG: No. 230
Final energy, eV per atom: -9.454

Entry 3:
VASP calculation (PBE) on an optimized crystal structure of Gd3Re2W3N12.

Cell lengths 11.0448, 11.0448, 11.0448 Å; angles 109.47, 109.47, 109.47 degrees
Sites, in units of the cell vectors:
Gd 0.1250 0.2500 0.3750
Gd 0.1250 0.3750 0.7500
Gd 0.2500 0.3750 0.1250
Gd 0.2500 0.8750 0.6250
Gd 0.3750 0.1250 0.2500
Gd 0.3750 0.7500 0.1250
Gd 0.6250 0.2500 0.8750
Gd 0.6250 0.8750 0.7500
Gd 0.7500 0.1250 0.3750
Gd 0.7500 0.6250 0.8750
Gd 0.8750 0.6250 0.2500
Gd 0.8750 0.7500 0.6250
Re 0.0000 0.0000 0.0000
Re 0.0000 0.0000 0.5000
Re 0.0000 0.5000 0.0000
Re 0.0000 0.5000 0.5000
Re 0.5000 0.0000 0.0000
Re 0.5000 0.0000 0.5000
Re 0.5000 0.5000 0.0000
Re 0.5000 0.5000 0.5000
W 0.1250 0.7500 0.8750
W 0.1250 0.8750 0.2500
W 0.2500 0.1250 0.8750
W 0.2500 0.6250 0.3750
W 0.3750 0.2500 0.6250
W 0.3750 0.6250 0.7500
W 0.6250 0.3750 0.2500
W 0.6250 0.7500 0.3750
W 0.7500 0.3750 0.6250
W 0.7500 0.8750 0.1250
W 0.8750 0.1250 0.7500
W 0.8750 0.2500 0.1250
N 0.0188 0.1988 0.1154
N 0.0188 0.3201 0.9034
N 0.0833 0.6988 0.6799
N 0.0833 0.8846 0.4034
N 0.0966 0.6154 0.4167
N 0.0966 0.9812 0.6799
N 0.1154 0.0188 0.1988
N 0.1154 0.5966 0.9167
N 0.1799 0.1988 0.5833
N 0.1799 0.4812 0.5966
N 0.1988 0.1154 0.0188
N 0.1988 0.5833 0.1799
N 0.3012 0.3201 0.9167
N 0.3012 0.4812 0.3846
N 0.3201 0.9034 0.0188
N 0.3201 0.9167 0.3012
N 0.3846 0.3012 0.4812
N 0.3846 0.5833 0.9034
N 0.4034 0.0833 0.8846
N 0.4034 0.8201 0.5188
N 0.4167 0.0966 0.6154
N 0.4167 0.8201 0.8012
N 0.4812 0.3846 0.3012
N 0.4812 0.5966 0.1799
N 0.5188 0.4034 0.8201
N 0.5188 0.6154 0.6988
N 0.5833 0.1799 0.1988
N 0.5833 0.9034 0.3846
N 0.5966 0.1799 0.4812
N 0.5966 0.9167 0.1154
N 0.6154 0.4167 0.0966
N 0.6154 0.6988 0.5188
N 0.6799 0.0833 0.6988
N 0.6799 0.0966 0.9812
N 0.6988 0.5188 0.6154
N 0.6988 0.6799 0.0833
N 0.8012 0.4167 0.8201
N 0.8012 0.8846 0.9812
N 0.8201 0.5188 0.4034
N 0.8201 0.8012 0.4167
N 0.8846 0.4034 0.0833
N 0.8846 0.9812 0.8012
N 0.9034 0.0188 0.3201
N 0.9034 0.3846 0.5833
N 0.9167 0.1154 0.5966
N 0.9167 0.3012 0.3201
N 0.9812 0.6799 0.0966
N 0.9812 0.8012 0.8846

Results
Density, g cm⁻³: 10.0
SG: No. 230
Final energy, eV per atom: -9.528

Entry 4:
VASP calculation (PBE) on an optimized crystal structure of Gd2SN.

Cell lengths 3.7473, 3.7473, 5.3052 Å; angles 90.00, 90.00, 90.00 degrees
Sites, in units of the cell vectors:
Gd 0.0000 0.0000 0.0000
Gd 0.5000 0.5000 0.5000
S 0.0000 0.0000 0.5000
N 0.5000 0.5000 0.0000

Results
Density, g cm⁻³: 8.0
SG: No. 123
Final energy, eV per atom: -7.056

Entry 5:
VASP calculation (PBE) on an optimized crystal structure of Gd3SN2.

Cell lengths 3.6055, 3.6055, 9.2124 Å; angles 90.00, 90.00, 120.00 degrees
Sites, in units of the cell vectors:
Gd 0.0000 0.0000 0.0000
Gd 0.3333 0.6667 0.2957
Gd 0.6667 0.3333 0.7043
S 0.0000 0.0000 0.5000
N 0.3333 0.6667 0.8396
N 0.6667 0.3333 0.1604

Results
Density, g cm⁻³: 8.5
SG: No. 164
Final energy, eV per atom: -7.568

Entry 6:
VASP calculation (PBE) on an optimized crystal structure of Gd3SbN2.

Cell lengths 3.5790, 3.5790, 10.3646 Å; angles 90.00, 90.00, 120.00 degrees
Sites, in units of the cell vectors:
Gd 0.0000 0.0000 0.0000
Gd 0.3333 0.6667 0.2625
Gd 0.6667 0.3333 0.7375
Sb 0.0000 0.0000 0.5000
N 0.3333 0.6667 0.8567
N 0.6667 0.3333 0.1433

Results
Density, g cm⁻³: 9.0
SG: No. 164
Final energy, eV per atom: -7.134